{
  "formula": "LaCeAgSb",
  "functional": "PBE",
  "state": "relaxed",
  "total_magnetization_mub_per_cell": 1.818,
  "raw_formation_energy_ev_per_atom": -0.556,
  "cell": [[-0.1293, -4.7663, 2.6062], [4.5819, -2.8335, 0.7101], [2.1783, -0.4454, 4.9582]],
  "species": ["La", "Sb", "Ce", "Ag"],
  "frac_coords": [[0.5000, 0.5000, 0.5000], [0.2500, 0.2500, 0.2500], [0.0000, 0.0000, 0.0000], [0.7500, 0.7500, 0.7500]]
}



{
  "formula": "Dy2MgCd6",
  "functional": "PBE",
  "state": "relaxed",
  "ef_kj_per_mol_atoms": -19.1,
  "total_magnetization_mub_per_cell": 0.000,
  "de_polymorph_mev_per_atom": 34,
  "cell": [[-0.0741, 4.1882, 4.9817], [-5.8353, 1.4955, -1.4041], [-4.6725, -3.1652, 2.5315]],
  "species": ["Cd", "Cd", "Cd", "Cd", "Cd", "Cd", "Mg", "Dy", "Dy"],
  "frac_coords": [[0.3274, 0.3515, 0.8252], [0.3274, 0.8252, 0.3515], [0.6726, 0.6485, 0.1748], [0.3243, 0.8255, 0.8255], [0.6757, 0.1745, 0.1745], [0.6726, 0.1748, 0.6485], [0.0000, 0.0000, 0.0000], [0.1301, 0.3335, 0.3335], [0.8699, 0.6665, 0.6665]]
}



{
  "formula": "HgBSbTe2",
  "functional": "PBE",
  "state": "relaxed",
  "total_magnetization_mub_per_cell": 0.000,
  "raw_formation_energy_ev_per_atom": 1.577,
  "de_polymorph_mev_per_atom": 909,
  "cell": [[-4.8665, -2.2680, 1.8894], [2.1721, -0.2845, 5.2533], [-1.9237, 5.0168, 1.0671]],
  "species": ["Sb", "Te", "Te", "Hg", "B"],
  "frac_coords": [[0.0000, 0.0000, 0.5000], [0.5000, 0.0000, 0.0000], [0.0000, 0.5000, 0.0000], [0.0000, 0.0000, 0.0000], [0.5000, 0.5000, 0.5000]]
}



{
  "formula": "CsHgPd4S2",
  "functional": "PBE",
  "state": "relaxed",
  "total_magnetization_mub_per_cell": 0.000,
  "raw_formation_energy_ev_per_atom": -0.363,
  "cell": [[-1.3129, -1.7305, 3.8555], [0.2310, -4.0606, -1.7439], [9.2162, -0.6903, 2.8284]],
  "species": ["Pd", "Pd", "Pd", "Pd", "Cs", "S", "S", "Hg"],
  "frac_coords": [[0.5000, 0.0000, 0.8190], [0.5000, 0.0000, 0.1810], [0.0000, 0.5000, 0.8190], [0.0000, 0.5000, 0.1810], [0.0000, 0.0000, 0.5000], [0.5000, 0.5000, 0.7437], [0.5000, 0.5000, 0.2563], [0.0000, 0.0000, 0.0000]]
}



{
  "formula": "As2WSe",
  "functional": "PBE",
  "state": "relaxed",
  "total_magnetization_mub_per_cell": 0.525,
  "raw_formation_energy_ev_per_atom": 0.582,
  "cell": [[4.6814, 0.0159, 0.0366], [-1.6769, 4.3708, 0.0366], [1.1372, 1.6603, 3.6834]],
  "species": ["As", "As", "W", "Se"],
  "frac_coords": [[0.0000, 0.0000, 0.0000], [0.5000, 0.5000, 0.0000], [0.0000, 0.5000, 0.5000], [0.5000, 0.0000, 0.5000]]
}



{
  "formula": "Sr2Ni3As4Pd",
  "functional": "PBE",
  "state": "relaxed",
  "ef_kj_per_mol_atoms": -66.3,
  "total_magnetization_mub_per_cell": 0.000,
  "cell": [[4.3257, 0.0000, 0.0000], [0.0000, 4.3257, 0.0000], [0.0000, 0.0000, 9.7529]],
  "species": ["As", "As", "As", "As", "Pd", "Sr", "Sr", "Ni", "Ni", "Ni"],
  "frac_coords": [[0.5000, 0.5000, 0.0000], [0.5000, 0.0000, 0.6376], [0.0000, 0.5000, 0.3624], [0.0000, 0.0000, 0.0000], [0.5000, 0.5000, 0.5000], [0.5000, 0.0000, 0.2479], [0.0000, 0.5000, 0.7521], [0.5000, 0.0000, 0.8858], [0.0000, 0.5000, 0.1142], [0.0000, 0.0000, 0.5000]]
}



| no. | calculated total energy (eV/atom) |
| --- | --- |
| 1 | -5.02 |
| 2 | -2.01 |
| 3 | -1.90 |
| 4 | -4.14 |
| 5 | -5.85 |
| 6 | -5.14 |